Record 1
This record from Alexandria describes a geometry-optimized TbSc2GeC structure. The functional is PBE.

Computed properties:
**Formation energy**: -0.649 eV/atom

a = 4.8292 Å, b = 4.4829 Å, c = 4.4829 Å
α = 90.00°, β = 90.00°, γ = 90.00°
Last column: nearest neighbours and their distance in Å.
Fractional coordinates of all 5 atoms:
1 Tb 0.5000 0.0000 0.0000  2 C 2.41
2 Sc 0.0000 0.5000 0.0000  2 C 2.24
3 Sc 0.0000 0.0000 0.5000  2 C 2.24
4 Ge 0.5000 0.5000 0.5000  4 Tb 3.17, 8 Sc 3.29
5 C 0.0000 0.0000 0.0000  4 Sc 2.24, 2 Tb 2.41

=====

Record 2
This record from Alexandria describes a geometry-optimized LaPrNdSn structure. The functional is PBE.

Computed properties:
**Formation energy**: -0.420 eV/atom

a = 4.9404 Å, b = 4.9404 Å, c = 6.2083 Å
α = 113.45°, β = 113.45°, γ = 90.00°
Last column: nearest neighbours and their distance in Å.
Fractional coordinates of all 4 atoms:
1 Nd 0.5000 0.5000 0.0000  4 Pr 3.49, 4 La 3.56, 4 Sn 3.56
2 Pr 0.0000 0.0000 0.0000  4 Nd 3.49, 4 Sn 3.56, 4 La 3.56
3 Sn 0.2500 0.7500 0.5000  4 La 3.49, 4 Pr 3.56, 4 Nd 3.56
4 La 0.7500 0.2500 0.5000  4 Sn 3.49, 4 Nd 3.56, 4 Pr 3.56

=====

Record 3
This record from Alexandria describes a geometry-optimized AlAgAsBr2 structure. The functional is PBE.

Computed properties:
**Calculated total energy**: -2.806 eV per atom

a = 5.0664 Å, b = 5.0664 Å, c = 5.1311 Å
α = 90.00°, β = 90.00°, γ = 90.00°
Last column: nearest neighbours and their distance in Å.
Fractional coordinates of all 5 atoms:
1 Al 0.0000 0.0000 0.0000  4 Br 2.53, 2 As 2.57
2 Br 0.5000 0.0000 0.0000  2 Al 2.53
3 Br 0.0000 0.5000 0.0000  2 Al 2.53
4 Ag 0.5000 0.5000 0.5000  4 As 3.58, 8 Br 3.61
5 As 0.0000 0.0000 0.5000  2 Al 2.57

=====

Record 4
This record from Alexandria describes a geometry-optimized LiZr2Rh structure. The functional is PBE.

Computed properties:
**Formation energy**: -0.162 eV/atom

a = 3.0031 Å, b = 3.0031 Å, c = 8.9430 Å
α = 90.00°, β = 90.00°, γ = 90.02°
Last column: nearest neighbours and their distance in Å.
Fractional coordinates of all 4 atoms:
1 Zr 0.0000 0.0000 0.9610  4 Rh 2.84, 4 Zr 3.00
2 Zr 0.0000 0.0000 0.5390  4 Rh 2.84, 4 Zr 3.00
3 Li 0.5000 0.5000 0.2500  4 Li 3.00, 8 Zr 3.34-3.35
4 Rh 0.5000 0.5000 0.7500  8 Zr 2.84, 4 Rh 3.00

=====

Record 5
This record from Alexandria describes a geometry-optimized MgCdSi2O6 structure. The functional is PBE.

Computed properties:
**Calculated total energy**: -6.748 eV per atom

a = 5.5233 Å, b = 7.0639 Å, c = 7.0639 Å
α = 87.56°, β = 74.67°, γ = 74.67°
Last column: nearest neighbours and their distance in Å.
Fractional coordinates of all 20 atoms:
1 Mg 0.7500 0.7656 0.2344  4 O 1.95-2.01
2 Mg 0.2500 0.2344 0.7656  4 O 1.95-2.01
3 Cd 0.7500 0.1099 0.8901  6 O 2.25-2.49
4 Cd 0.2500 0.8901 0.1099  6 O 2.25-2.49
5 Si 0.7052 0.2173 0.3821  4 O 1.62-1.67
6 Si 0.2052 0.3821 0.2173  4 O 1.62-1.67
7 Si 0.2948 0.7827 0.6179  4 O 1.62-1.67
8 Si 0.7948 0.6179 0.7827  4 O 1.62-1.67
9 O 0.1791 0.9685 0.7789  1 Si 1.65
10 O 0.8892 0.3917 0.8412  1 Si 1.62
11 O 0.6108 0.1588 0.6083  1 Si 1.62
12 O 0.6791 0.7789 0.9685  1 Si 1.65
13 O 0.5620 0.6419 0.6689  2 Si 1.66-1.67
14 O 0.3209 0.2211 0.0315  1 Si 1.65
15 O 0.3892 0.8412 0.3917  1 Si 1.62
16 O 0.9380 0.3311 0.3581  2 Si 1.66-1.67
17 O 0.4380 0.3581 0.3311  2 Si 1.66-1.67
18 O 0.8209 0.0315 0.2211  1 Si 1.65
19 O 0.1108 0.6083 0.1588  1 Si 1.62
20 O 0.0620 0.6689 0.6419  2 Si 1.66-1.67

=====

Record 6
This record from Alexandria describes a geometry-optimized FeCo17Pd structure. The functional is PBE.

Computed properties:
**Formation energy**: 0.156 eV/atom

a = 6.1554 Å, b = 6.1554 Å, c = 6.1554 Å
α = 78.31°, β = 78.31°, γ = 78.31°
Last column: nearest neighbours and their distance in Å.
Fractional coordinates of all 19 atoms:
1 Co 0.3223 0.9107 0.3223  7 Co 2.28-2.37
2 Co 0.9107 0.3223 0.3223  7 Co 2.28-2.37
3 Co 0.3223 0.3223 0.9107  7 Co 2.28-2.37
4 Co 0.2602 0.6201 0.6201  6 Co 2.32-2.55
5 Co 0.9612 0.5334 0.9612  5 Co 2.21-2.33
6 Co 0.9612 0.9612 0.5334  5 Co 2.21-2.33
7 Co 0.0008 0.3190 0.6789  7 Co 2.33-2.61
8 Co 0.0796 0.0796 0.0796  4 Co 2.20-2.28
9 Co 0.9055 0.9055 0.9055  4 Co 2.20-2.21
10 Co 0.6201 0.2602 0.6201  6 Co 2.32-2.55
11 Co 0.3190 0.0008 0.6789  7 Co 2.33-2.61
12 Co 0.0008 0.6789 0.3190  7 Co 2.33-2.61
13 Co 0.5334 0.9612 0.9612  5 Co 2.21-2.33
14 Co 0.6201 0.6201 0.2602  6 Co 2.32-2.55
15 Co 0.3190 0.6789 0.0008  7 Co 2.33-2.61
16 Co 0.6789 0.0008 0.3190  7 Co 2.33-2.61
17 Co 0.6789 0.3190 0.0008  7 Co 2.33-2.61
18 Fe 0.6715 0.6715 0.6715  13 Co 2.65-2.96
19 Pd 0.3343 0.3343 0.3343  12 Co 2.64-2.65

=====

Record 7
This record from Alexandria describes a geometry-optimized Nd12Sm5Dy structure. The functional is PBE.

Computed properties:
**Formation energy**: 0.014 eV/atom

a = 15.5252 Å, b = 10.9748 Å, c = 5.1763 Å
α = 90.00°, β = 90.00°, γ = 44.98°
Last column: nearest neighbours and their distance in Å.
Fractional coordinates of all 18 atoms:
1 Nd 0.6665 0.0000 0.9999  4 Sm 3.66, 8 Nd 3.66-3.68
2 Nd 0.9992 0.3328 0.9999  1 Dy 3.64, 3 Sm 3.65, 8 Nd 3.65-3.69
3 Nd 0.6681 0.3328 0.0001  1 Dy 3.64, 3 Sm 3.65, 8 Nd 3.65-3.69
4 Nd 0.3320 0.6672 0.9999  1 Dy 3.64, 3 Sm 3.65, 8 Nd 3.65-3.69
5 Nd 0.8349 0.0000 0.4999  2 Sm 3.64, 2 Dy 3.64, 8 Nd 3.65-3.68
6 Nd 0.8329 0.6666 0.5001  4 Sm 3.65-3.66, 8 Nd 3.66-3.68
7 Nd 0.1651 0.0000 0.5001  2 Sm 3.64, 2 Dy 3.64, 8 Nd 3.65-3.68
8 Nd 0.4995 0.3334 0.5001  4 Sm 3.65-3.66, 8 Nd 3.66-3.68
9 Nd 0.0008 0.6672 0.0001  1 Dy 3.64, 3 Sm 3.65, 8 Nd 3.65-3.69
10 Nd 0.1671 0.3334 0.4999  4 Sm 3.65-3.66, 8 Nd 3.66-3.68
11 Nd 0.5005 0.6666 0.4999  4 Sm 3.65-3.66, 8 Nd 3.66-3.68
12 Nd 0.3335 0.0000 0.0001  4 Sm 3.66, 8 Nd 3.66-3.68
13 Sm 0.3334 0.3332 0.0000  8 Nd 3.65-3.66, 4 Sm 3.66
14 Sm 0.5000 0.0000 0.5000  8 Nd 3.65-3.66, 4 Sm 3.66
15 Sm 0.8338 0.3324 0.5000  8 Nd 3.64-3.66, 2 Dy 3.65, 2 Sm 3.66
16 Sm 0.1662 0.6676 0.5000  8 Nd 3.64-3.66, 2 Dy 3.65, 2 Sm 3.66
17 Sm 0.6666 0.6668 0.0000  8 Nd 3.65-3.66, 4 Sm 3.66
18 Dy 0.0000 0.0000 0.0000  8 Nd 3.64, 4 Sm 3.65

=====

Record 8
This record from Alexandria describes a geometry-optimized Ba2GaPb structure. The functional is PBE.

Computed properties:
**Formation energy**: -0.474 eV/atom

a = 4.7379 Å, b = 7.0042 Å, c = 10.2817 Å
α = 111.48°, β = 90.00°, γ = 90.00°
Last column: nearest neighbours and their distance in Å.
Fractional coordinates of all 8 atoms:
1 Ba 0.7500 0.2227 0.9401  4 Ga 3.55-3.87, 3 Pb 3.66-3.69
2 Ba 0.7500 0.2244 0.4226  3 Ga 3.57-3.76, 4 Pb 3.67-3.78
3 Ba 0.2500 0.7773 0.0599  4 Ga 3.55-3.87, 3 Pb 3.66-3.69
4 Ba 0.2500 0.7756 0.5774  3 Ga 3.57-3.76, 4 Pb 3.67-3.78
5 Ga 0.2500 0.3709 0.2165  2 Pb 2.97
6 Ga 0.7500 0.6291 0.7835  2 Pb 2.97
7 Pb 0.2500 0.3554 0.7151  2 Ga 2.97
8 Pb 0.7500 0.6446 0.2849  2 Ga 2.97

=====

Record 9
This record from Alexandria describes a geometry-optimized CsBe2GeBr8 structure. The functional is PBE.

Computed properties:
**Calculated total energy**: -3.108 eV per atom

a = 6.5252 Å, b = 6.5252 Å, c = 11.2942 Å
α = 73.21°, β = 73.21°, γ = 60.00°
Last column: nearest neighbours and their distance in Å.
Fractional coordinates of all 12 atoms:
1 Cs 0.5000 0.5000 0.5000  12 Br 3.87-4.33
2 Br 0.9612 0.6100 0.1518  1 Be 2.22
3 Br 0.0388 0.3900 0.8482  1 Be 2.22
4 Br 0.8052 0.8052 0.5845  1 Be 2.14
5 Br 0.2769 0.9612 0.1518  1 Be 2.22
6 Br 0.3900 0.7231 0.8482  1 Be 2.22
7 Br 0.1948 0.1948 0.4155  1 Be 2.14
8 Br 0.7231 0.0388 0.8482  1 Be 2.22
9 Br 0.6100 0.2769 0.1518  1 Be 2.22
10 Be 0.2619 0.2619 0.2142  4 Br 2.14-2.22
11 Be 0.7381 0.7381 0.7858  4 Br 2.14-2.22
12 Ge 0.0000 0.0000 0.0000  6 Br 2.71

=====

Record 10
This record from Alexandria describes a geometry-optimized Ti2Be2GeRu5 structure. The functional is PBE.

Computed properties:
**Formation energy**: -0.413 eV/atom

a = 3.0943 Å, b = 9.2388 Å, c = 9.2388 Å
α = 90.00°, β = 90.00°, γ = 90.00°
Last column: nearest neighbours and their distance in Å.
Fractional coordinates of all 20 atoms:
1 Ru 0.5000 0.2942 0.5728  2 Be 2.25
2 Ru 0.5000 0.5728 0.7058  2 Be 2.25
3 Ru 0.5000 0.7942 0.9272  2 Be 2.25
4 Ru 0.5000 0.0000 0.5000  4 Be 2.26
5 Ru 0.5000 0.0728 0.7942  2 Be 2.25
6 Ru 0.5000 0.2058 0.0728  2 Be 2.25
7 Ru 0.5000 0.7058 0.4272  2 Be 2.25
8 Ru 0.5000 0.9272 0.2058  2 Be 2.25
9 Ru 0.5000 0.5000 0.0000  4 Be 2.26
10 Ru 0.5000 0.4272 0.2942  2 Be 2.25
11 Ti 0.0000 0.6724 0.1724  3 Be 2.64-2.79, 6 Ru 2.73-2.83
12 Ti 0.0000 0.3276 0.8276  3 Be 2.64-2.79, 6 Ru 2.73-2.83
13 Ti 0.0000 0.8276 0.6724  3 Be 2.64-2.79, 6 Ru 2.73-2.83
14 Ti 0.0000 0.1724 0.3276  3 Be 2.64-2.79, 6 Ru 2.73-2.83
15 Ge 0.0000 0.5000 0.5000  8 Ru 2.54
16 Ge 0.0000 0.0000 0.0000  8 Ru 2.54
17 Be 0.0000 0.6256 0.8744  6 Ru 2.25-2.26
18 Be 0.0000 0.8744 0.3744  6 Ru 2.25-2.26
19 Be 0.0000 0.3744 0.1256  6 Ru 2.25-2.26
20 Be 0.0000 0.1256 0.6256  6 Ru 2.25-2.26

=====

Record 11
This record from Alexandria describes a geometry-optimized CaNd4Y5 structure. The functional is PBE.

Computed properties:
**Formation energy**: 0.069 eV/atom

a = 5.6335 Å, b = 9.7264 Å, c = 9.6619 Å
α = 43.77°, β = 73.05°, γ = 73.17°
Last column: nearest neighbours and their distance in Å.
Fractional coordinates of all 10 atoms:
1 Y 0.2011 0.7952 0.8027  5 Nd 3.29-3.66, 1 Ca 3.44, 1 Y 3.63
2 Y 0.0000 0.5000 0.5000  2 Nd 3.41, 2 Ca 3.61, 4 Y 3.82
3 Y 0.7989 0.2048 0.1973  5 Nd 3.29-3.66, 1 Ca 3.44, 1 Y 3.63
4 Y 0.3877 0.3722 0.8525  6 Nd 3.51-3.84, 5 Y 3.63-3.82, 2 Ca 3.90
5 Y 0.6123 0.6278 0.1475  6 Nd 3.51-3.84, 5 Y 3.63-3.82, 2 Ca 3.90
6 Nd 0.8003 0.6974 0.7020  7 Y 3.29-3.66, 2 Nd 3.65
7 Nd 0.3873 0.8577 0.3676  8 Y 3.51-3.85, 3 Nd 3.65-3.72, 2 Ca 3.87
8 Nd 0.1997 0.3026 0.2980  7 Y 3.29-3.66, 2 Nd 3.65
9 Nd 0.6127 0.1423 0.6324  8 Y 3.51-3.85, 3 Nd 3.65-3.72, 2 Ca 3.87
10 Ca 0.0000 0.0000 0.0000  4 Y 3.44-3.61

=====

Record 12
This record from Alexandria describes a geometry-optimized TmSiAu structure. The functional is PBE.

Computed properties:
**Calculated total energy**: -5.176 eV per atom

a = 4.3335 Å, b = 5.6112 Å, c = 5.6112 Å
α = 84.02°, β = 67.28°, γ = 67.28°
Last column: nearest neighbours and their distance in Å.
Fractional coordinates of all 6 atoms:
1 Tm 0.5000 0.1790 0.8210  6 Si 2.99-3.12, 6 Au 3.14-3.15
2 Tm 0.0000 0.6067 0.3933  6 Au 3.01-3.07, 6 Si 3.16-3.19
3 Au 0.7139 0.5982 0.9741  3 Si 2.52-2.53
4 Au 0.2861 0.0259 0.4018  3 Si 2.52-2.53
5 Si 0.7954 0.1894 0.2197  3 Au 2.52-2.53
6 Si 0.2046 0.7803 0.8106  3 Au 2.52-2.53